Record 1
# Cr2FeCu meta-GGA SCAN PBEsol geometry
# Energy above the lowest structure with this stoichiometry, eV/atom: 0.000
# V, Å³/atom: 11.18
# Mass density, kg/m³: 8292
# Calculated formation energy, eV per formula unit: 0.614
# Size of the total moment, μB per atom: 0.687
data_Cr2FeCu
_space_group_name_H-M_alt 'I -4 m 2'
_space_group_IT_number 119
_space_group_name_Hall 'I -4 -2'
_cell_length_a 3.671
_cell_length_b 3.671
_cell_length_c 6.638
_cell_angle_alpha 90.00
_cell_angle_beta 90.00
_cell_angle_gamma 90.00
loop_
_atom_site_label
_atom_site_type_symbol
_atom_site_fract_x
_atom_site_fract_y
_atom_site_fract_z
_atom_site_occupancy
Cr1 Cr 0.000 0.000 0.000 1
Cr2 Cr 0.000 0.500 0.250 1
Fe1 Fe 0.000 0.000 0.500 1
Cu1 Cu 0.000 0.500 0.750 1

Record 2
# SrSiP2 meta-GGA SCAN PBEsol geometry
# V, Å³/atom: 18.99
# Mass density, kg/m³: 3885
# Electronic total energy, eV/atom: -13.189
# Size of the total moment, μB per atom: 0.000
data_SrSiP2
_space_group_name_H-M_alt 'P 4/m m m'
_space_group_IT_number 123
_space_group_name_Hall '-P 4 2'
_cell_length_a 4.399
_cell_length_b 4.399
_cell_length_c 3.924
_cell_angle_alpha 90.00
_cell_angle_beta 90.00
_cell_angle_gamma 90.00
loop_
_atom_site_label
_atom_site_type_symbol
_atom_site_fract_x
_atom_site_fract_y
_atom_site_fract_z
_atom_site_occupancy
Sr1 Sr 0.000 0.000 0.000 1
Si1 Si 0.500 0.500 0.000 1
P1 P 0.000 0.500 0.500 1

Record 3
# Al2RuAu meta-GGA SCAN PBEsol geometry
# V, Å³/atom: 14.19
# Mass density, kg/m³: 10301
# Calculated formation energy, eV per formula unit: -2.909
# Size of the total moment, μB per atom: 0.005
data_Al2RuAu
_space_group_name_H-M_alt 'P 4/m m m'
_space_group_IT_number 123
_space_group_name_Hall '-P 4 2'
_cell_length_a 4.099
_cell_length_b 4.099
_cell_length_c 3.377
_cell_angle_alpha 90.00
_cell_angle_beta 90.00
_cell_angle_gamma 90.00
loop_
_atom_site_label
_atom_site_type_symbol
_atom_site_fract_x
_atom_site_fract_y
_atom_site_fract_z
_atom_site_occupancy
Al1 Al 0.000 0.500 0.000 1
Ru1 Ru 0.000 0.000 0.500 1
Au1 Au 0.500 0.500 0.500 1

Record 4
# Sc2CrInB meta-GGA SCAN PBEsol geometry
# V, Å³/atom: 18.79
# Mass density, kg/m³: 4728
# Calculated formation energy, eV per formula unit: 0.059
# Size of the total moment, μB per atom: 0.924
data_Sc2CrInB
_space_group_name_H-M_alt 'P 4/m m m'
_space_group_IT_number 123
_space_group_name_Hall '-P 4 2'
_cell_length_a 4.623
_cell_length_b 4.623
_cell_length_c 4.397
_cell_angle_alpha 90.00
_cell_angle_beta 90.00
_cell_angle_gamma 90.00
loop_
_atom_site_label
_atom_site_type_symbol
_atom_site_fract_x
_atom_site_fract_y
_atom_site_fract_z
_atom_site_occupancy
Sc1 Sc 0.000 0.500 0.000 1
Cr1 Cr 0.000 0.000 0.500 1
In1 In 0.500 0.500 0.500 1
B1 B 0.500 0.500 0.000 1

Record 5
# SbAsIr2 meta-GGA SCAN PBEsol geometry
# Energy above the lowest structure with this stoichiometry, eV/atom: 0.112
# V, Å³/atom: 18.09
# Mass density, kg/m³: 13332
# Size of the total moment, μB per atom: 0.000
data_SbAsIr2
_space_group_name_H-M_alt 'C m m 2'
_space_group_IT_number 35
_space_group_name_Hall 'C 2 -2'
_cell_length_a 2.887
_cell_length_b 5.049
_cell_length_c 9.933
_cell_angle_alpha 90.00
_cell_angle_beta 90.00
_cell_angle_gamma 90.00
loop_
_atom_site_label
_atom_site_type_symbol
_atom_site_fract_x
_atom_site_fract_y
_atom_site_fract_z
_atom_site_occupancy
Sb1 Sb 0.000 0.000 0.000 1
As1 As 0.000 0.500 0.336 1
Ir1 Ir 0.000 0.000 0.540 1
Ir2 Ir 0.000 0.500 0.770 1

Record 6
# MgCu2Tc meta-GGA SCAN PBEsol geometry
# V, Å³/atom: 13.32
# Mass density, kg/m³: 7770
# Calculated formation energy, eV per formula unit: 0.648
# Size of the total moment, μB per atom: 0.000
data_MgCu2Tc
_space_group_name_H-M_alt 'P 1 m 1'
_space_group_IT_number 6
_space_group_name_Hall 'P -2y'
_cell_length_a 2.546
_cell_length_b 4.232
_cell_length_c 5.092
_cell_angle_alpha 90.00
_cell_angle_beta 103.76
_cell_angle_gamma 90.00
loop_
_atom_site_label
_atom_site_type_symbol
_atom_site_fract_x
_atom_site_fract_y
_atom_site_fract_z
_atom_site_occupancy
Mg1 Mg 0.000 0.000 0.000 1
Cu1 Cu 0.269 0.000 0.513 1
Cu2 Cu 0.390 0.500 0.786 1
Tc1 Tc 0.668 0.500 0.317 1

Record 7
# LaMgTa2 meta-GGA SCAN PBEsol geometry
# V, Å³/atom: 21.17
# Mass density, kg/m³: 10296
# Calculated formation energy, eV per formula unit: 2.464
# Size of the total moment, μB per atom: 0.000
data_LaMgTa2
_space_group_name_H-M_alt 'I m m m'
_space_group_IT_number 71
_space_group_name_Hall '-I 2 2'
_cell_length_a 3.127
_cell_length_b 5.214
_cell_length_c 10.388
_cell_angle_alpha 90.00
_cell_angle_beta 90.00
_cell_angle_gamma 90.00
loop_
_atom_site_label
_atom_site_type_symbol
_atom_site_fract_x
_atom_site_fract_y
_atom_site_fract_z
_atom_site_occupancy
La1 La 0.000 0.000 0.000 1
Mg1 Mg 0.000 0.000 0.500 1
Ta1 Ta 0.000 0.500 0.245 1

Record 8
# LiFeSe2 meta-GGA SCAN PBEsol geometry
# V, Å³/atom: 19.55
# Mass density, kg/m³: 4686
# Electronic total energy, eV/atom: -15.580
# Size of the total moment, μB per atom: 0.251
data_LiFeSe2
_space_group_name_H-M_alt 'R -3 m'
_space_group_IT_number 166
_space_group_name_Hall '-R 3 2"'
_cell_length_a 3.5006
_cell_length_b 3.5006
_cell_length_c 22.1106
_cell_angle_alpha 90.00
_cell_angle_beta 90.00
_cell_angle_gamma 120.00
loop_
_atom_site_label
_atom_site_type_symbol
_atom_site_fract_x
_atom_site_fract_y
_atom_site_fract_z
_atom_site_occupancy
Li1 Li 0.0000 0.0000 0.0000 1
Fe1 Fe 0.0000 0.0000 0.5000 1
Se1 Se 0.0000 0.0000 0.1096 1

Record 9
# CdP2S2 meta-GGA SCAN PBEsol geometry
# V, Å³/atom: 22.71
# Mass density, kg/m³: 3487
# Electronic total energy, eV/atom: -12.597
# Size of the total moment, μB per atom: 0.093
data_CdP2S2
_space_group_name_H-M_alt 'P 4/m m m'
_space_group_IT_number 123
_space_group_name_Hall '-P 4 2'
_cell_length_a 4.919
_cell_length_b 4.919
_cell_length_c 4.694
_cell_angle_alpha 90.00
_cell_angle_beta 90.00
_cell_angle_gamma 90.00
loop_
_atom_site_label
_atom_site_type_symbol
_atom_site_fract_x
_atom_site_fract_y
_atom_site_fract_z
_atom_site_occupancy
Cd1 Cd 0.000 0.000 0.000 1
P1 P 0.000 0.500 0.000 1
S1 S 0.000 0.000 0.500 1
S2 S 0.500 0.500 0.500 1

Record 10
# CdPb2Au meta-GGA SCAN PBEsol geometry
# V, Å³/atom: 24.23
# Mass density, kg/m³: 12402
# Calculated formation energy, eV per formula unit: -0.236
# Size of the total moment, μB per atom: 0.000
data_CdPb2Au
_space_group_name_H-M_alt 'P 4 m m'
_space_group_IT_number 99
_space_group_name_Hall 'P 4 -2'
_cell_length_a 3.393
_cell_length_b 3.393
_cell_length_c 8.418
_cell_angle_alpha 90.00
_cell_angle_beta 90.00
_cell_angle_gamma 90.00
loop_
_atom_site_label
_atom_site_type_symbol
_atom_site_fract_x
_atom_site_fract_y
_atom_site_fract_z
_atom_site_occupancy
Cd1 Cd 0.000 0.000 0.000 1
Pb1 Pb 0.000 0.000 0.588 1
Pb2 Pb 0.500 0.500 0.261 1
Au1 Au 0.500 0.500 0.815 1

Record 11
# Ba3MgFe meta-GGA SCAN PBEsol geometry
# V, Å³/atom: 54.27
# Mass density, kg/m³: 3012
# Calculated formation energy, eV per formula unit: 4.633
# Size of the total moment, μB per atom: 0.481
data_Ba3MgFe
_space_group_name_H-M_alt 'P m -3 m'
_space_group_IT_number 221
_space_group_name_Hall '-P 4 2 3'
_cell_length_a 6.474
_cell_length_b 6.474
_cell_length_c 6.474
_cell_angle_alpha 90.00
_cell_angle_beta 90.00
_cell_angle_gamma 90.00
loop_
_atom_site_label
_atom_site_type_symbol
_atom_site_fract_x
_atom_site_fract_y
_atom_site_fract_z
_atom_site_occupancy
Ba1 Ba 0.000 0.000 0.500 1
Mg1 Mg 0.000 0.000 0.000 1
Fe1 Fe 0.500 0.500 0.500 1

Record 12
# NiI2O meta-GGA SCAN PBEsol geometry
# V, Å³/atom: 16.52
# Mass density, kg/m³: 8253
# Electronic total energy, eV/atom: -23.124
# Size of the total moment, μB per atom: 0.000
data_NiI2O
_space_group_name_H-M_alt 'F m -3 m'
_space_group_IT_number 225
_space_group_name_Hall '-F 4 2 3'
_cell_length_a 6.418
_cell_length_b 6.418
_cell_length_c 6.418
_cell_angle_alpha 90.00
_cell_angle_beta 90.00
_cell_angle_gamma 90.00
loop_
_atom_site_label
_atom_site_type_symbol
_atom_site_fract_x
_atom_site_fract_y
_atom_site_fract_z
_atom_site_occupancy
Ni1 Ni 0.000 0.000 0.000 1
I1 I 0.250 0.250 0.250 1
O1 O 0.000 0.000 0.500 1

Record 13
# BrCl3 meta-GGA SCAN PBEsol geometry
# V, Å³/atom: 19.92
# Mass density, kg/m³: 3882
# Electronic total energy, eV/atom: -10.003
# Size of the total moment, μB per atom: 0.000
data_BrCl3
_space_group_name_H-M_alt 'P m -3 m'
_space_group_IT_number 221
_space_group_name_Hall '-P 4 2 3'
_cell_length_a 4.303
_cell_length_b 4.303
_cell_length_c 4.303
_cell_angle_alpha 90.00
_cell_angle_beta 90.00
_cell_angle_gamma 90.00
loop_
_atom_site_label
_atom_site_type_symbol
_atom_site_fract_x
_atom_site_fract_y
_atom_site_fract_z
_atom_site_occupancy
Br1 Br 0.000 0.000 0.000 1
Cl1 Cl 0.000 0.500 0.500 1

Record 14
# SbSeN2F meta-GGA SCAN PBEsol geometry
# Energy above the lowest structure with this stoichiometry, eV/atom: 0.000
# V, Å³/atom: 12.94
# Mass density, kg/m³: 6360
# Size of the total moment, μB per atom: 0.000
data_SbSeN2F
_space_group_name_H-M_alt 'P 4/m m m'
_space_group_IT_number 123
_space_group_name_Hall '-P 4 2'
_cell_length_a 4.045
_cell_length_b 4.045
_cell_length_c 3.954
_cell_angle_alpha 90.00
_cell_angle_beta 90.00
_cell_angle_gamma 90.00
loop_
_atom_site_label
_atom_site_type_symbol
_atom_site_fract_x
_atom_site_fract_y
_atom_site_fract_z
_atom_site_occupancy
Sb1 Sb 0.000 0.000 0.000 1
Se1 Se 0.500 0.500 0.500 1
N1 N 0.000 0.500 0.500 1
F1 F 0.500 0.500 0.000 1

Record 15
# ReNi2As meta-GGA SCAN PBEsol geometry
# V, Å³/atom: 12.72
# Mass density, kg/m³: 12355
# Calculated formation energy, eV per formula unit: 0.360
# Size of the total moment, μB per atom: 0.000
data_ReNi2As
_space_group_name_H-M_alt 'R -3 m'
_space_group_IT_number 166
_space_group_name_Hall '-R 3 2"'
_cell_length_a 2.7112
_cell_length_b 2.7112
_cell_length_c 23.9755
_cell_angle_alpha 90.00
_cell_angle_beta 90.00
_cell_angle_gamma 120.00
loop_
_atom_site_label
_atom_site_type_symbol
_atom_site_fract_x
_atom_site_fract_y
_atom_site_fract_z
_atom_site_occupancy
Re1 Re 0.0000 0.0000 0.0000 1
Ni1 Ni 0.0000 0.0000 0.2468 1
As1 As 0.0000 0.0000 0.5000 1

Record 16
# LiAgBr2 meta-GGA SCAN PBEsol geometry
# Energy above the lowest structure with this stoichiometry, eV/atom: 0.239
# V, Å³/atom: 21.06
# Mass density, kg/m³: 5413
# Size of the total moment, μB per atom: 0.000
data_LiAgBr2
_space_group_name_H-M_alt 'F m -3 m'
_space_group_IT_number 225
_space_group_name_Hall '-F 4 2 3'
_cell_length_a 6.959
_cell_length_b 6.959
_cell_length_c 6.959
_cell_angle_alpha 90.00
_cell_angle_beta 90.00
_cell_angle_gamma 90.00
loop_
_atom_site_label
_atom_site_type_symbol
_atom_site_fract_x
_atom_site_fract_y
_atom_site_fract_z
_atom_site_occupancy
Li1 Li 0.000 0.000 0.000 1
Ag1 Ag 0.000 0.000 0.500 1
Br1 Br 0.250 0.250 0.250 1

Record 17
# TmP5O14 meta-GGA SCAN PBEsol geometry
# V, Å³/atom: 12.69
# Mass density, kg/m³: 3585
# Electronic total energy, eV/atom: -12.168
# Size of the total moment, μB per atom: 0.000
data_TmP5O14
_space_group_name_H-M_alt 'C 1 2/c 1'
_space_group_IT_number 15
_space_group_name_Hall '-C 2yc'
_cell_length_a 12.875
_cell_length_b 12.761
_cell_length_c 12.358
_cell_angle_alpha 90.00
_cell_angle_beta 91.42
_cell_angle_gamma 90.00
loop_
_atom_site_label
_atom_site_type_symbol
_atom_site_fract_x
_atom_site_fract_y
_atom_site_fract_z
_atom_site_occupancy
Tm1 Tm 0.000 0.019 0.250 1
Tm2 Tm 0.000 0.468 0.250 1
P1 P 0.023 0.352 0.534 1
P2 P 0.144 0.032 0.000 1
P3 P 0.149 0.170 0.605 1
P4 P 0.174 0.247 0.260 1
P5 P 0.183 0.366 0.890 1
O1 O 0.024 0.401 0.426 1
O2 O 0.059 0.407 0.635 1
O3 O 0.078 0.064 0.091 1
O4 O 0.085 0.242 0.524 1
O5 O 0.090 0.128 0.696 1
O6 O 0.092 0.303 0.944 1
O7 O 0.108 0.038 0.886 1
O8 O 0.112 0.152 0.286 1
O9 O 0.124 0.348 0.232 1
O10 O 0.153 0.454 0.820 1
O11 O 0.193 0.084 0.525 1
O12 O 0.246 0.239 0.637 1
O13 O 0.246 0.275 0.836 1
O14 O 0.249 0.400 0.994 1

Record 18
# In2Ni21B6 meta-GGA SCAN PBEsol geometry
# V, Å³/atom: 9.85
# Mass density, kg/m³: 8876
# Calculated formation energy, eV per formula unit: -7.035
# Size of the total moment, μB per atom: 0.000
data_In2Ni21B6
_space_group_name_H-M_alt 'F m -3 m'
_space_group_IT_number 225
_space_group_name_Hall '-F 4 2 3'
_cell_length_a 10.455
_cell_length_b 10.455
_cell_length_c 10.455
_cell_angle_alpha 90.00
_cell_angle_beta 90.00
_cell_angle_gamma 90.00
loop_
_atom_site_label
_atom_site_type_symbol
_atom_site_fract_x
_atom_site_fract_y
_atom_site_fract_z
_atom_site_occupancy
In1 In 0.250 0.250 0.250 1
Ni1 Ni 0.000 0.000 0.000 1
Ni2 Ni 0.000 0.168 0.168 1
Ni3 Ni 0.114 0.114 0.386 1
B1 B 0.000 0.000 0.272 1

Record 19
# AlSnBiBr2 meta-GGA SCAN PBEsol geometry
# V, Å³/atom: 31.63
# Mass density, kg/m³: 5402
# Electronic total energy, eV/atom: -31.918
# Size of the total moment, μB per atom: 0.000
data_AlSnBiBr2
_space_group_name_H-M_alt 'P 4/m m m'
_space_group_IT_number 123
_space_group_name_Hall '-P 4 2'
_cell_length_a 5.375
_cell_length_b 5.375
_cell_length_c 5.475
_cell_angle_alpha 90.00
_cell_angle_beta 90.00
_cell_angle_gamma 90.00
loop_
_atom_site_label
_atom_site_type_symbol
_atom_site_fract_x
_atom_site_fract_y
_atom_site_fract_z
_atom_site_occupancy
Al1 Al 0.000 0.000 0.000 1
Sn1 Sn 0.000 0.000 0.500 1
Bi1 Bi 0.500 0.500 0.000 1
Br1 Br 0.000 0.500 0.500 1

Record 20
# RbMoN2 meta-GGA SCAN PBEsol geometry
# Energy above the lowest structure with this stoichiometry, eV/atom: 0.000
# V, Å³/atom: 18.84
# Mass density, kg/m³: 4615
# Size of the total moment, μB per atom: 0.000
data_RbMoN2
_space_group_name_H-M_alt 'P b c a'
_space_group_IT_number 61
_space_group_name_Hall '-P 2ac 2ab'
_cell_length_a 6.063
_cell_length_b 12.176
_cell_length_c 16.334
_cell_angle_alpha 90.00
_cell_angle_beta 90.00
_cell_angle_gamma 90.00
loop_
_atom_site_label
_atom_site_type_symbol
_atom_site_fract_x
_atom_site_fract_y
_atom_site_fract_z
_atom_site_occupancy
Rb1 Rb 0.120 0.249 0.194 1
Rb2 Rb 0.246 0.000 0.068 1
Mo1 Mo 0.168 0.249 0.444 1
Mo2 Mo 0.245 0.501 0.817 1
N1 N 0.011 0.000 0.747 1
N2 N 0.143 0.749 0.036 1
N3 N 0.236 0.128 0.882 1
N4 N 0.239 0.123 0.385 1